No. 1
## NaTb2Hg3 (PBE)

Data for a relaxed NaTb2Hg3 crystal.

Computed properties:
Calculated volume = 156.9 Å³/f.u.
Energy of formation = -0.391 eV/atom
Total magnetization = 0.000 μB/atom

abc: 3.7006 3.7006 11.4596
angles: 90.00 90.00 90.00
Closest atoms and distances in Å follow each position.
Element x y z (fractional)
Na: 0.5000 0.5000 0.5000  8 Hg 3.32, 4 Na 3.70
Tb: 0.5000 0.5000 0.8345  8 Hg 3.17-3.23
Tb: 0.5000 0.5000 0.1655  8 Hg 3.17-3.23
Hg: 0.0000 0.0000 0.0000  8 Tb 3.23
Hg: 0.0000 0.0000 0.6783  4 Tb 3.17, 4 Na 3.32
Hg: 0.0000 0.0000 0.3217  4 Tb 3.17, 4 Na 3.32

---

No. 2
## Ag2TePt (PBE)

Data for a relaxed Ag2TePt crystal.

Computed properties:
Formation energy (no corrections) = 0.048 eV/atom
Calculated volume = 83.4 Å³/f.u.
Total magnetization = 0.000 μB/atom

abc: 3.8900 3.0768 7.5195
angles: 67.94 90.00 90.00
Closest atoms and distances in Å follow each position.
Element x y z (fractional)
Te: 0.5000 0.4416 0.7221  2 Pt 2.65
Ag: 0.0000 0.0477 0.0507  1 Pt 2.88, 6 Ag 2.88-3.08, 2 Te 3.02
Ag: 0.5000 0.3491 0.2635  4 Pt 2.84-2.85, 6 Ag 2.88-3.08
Pt: 0.0000 0.6615 0.4638  2 Te 2.65, 5 Ag 2.84-2.88